Entry 1:
Material: PuBeRe
Method: DFT, PBE
State: relaxed

Calculated values
Volume ... 217.7 Å³/cell
Symmetry ... No. 216
Polymorph energy (0 for the lowest one) ... 818.6 meV/atom
Total energy ... -26.52 eV per formula unit

a = 6.016 Å, b = 6.016 Å, c = 6.016 Å
α = 90.00°, β = 90.00°, γ = 90.00°
Element x y z (fractional)
Pu (0.000, 0.000, 0.000)
Pu (0.000, 0.500, 0.500)
Pu (0.500, 0.000, 0.500)
Pu (0.500, 0.500, 0.000)
Be (0.250, 0.250, 0.750)
Be (0.250, 0.750, 0.250)
Be (0.750, 0.250, 0.250)
Be (0.750, 0.750, 0.750)
Re (0.250, 0.250, 0.250)
Re (0.250, 0.750, 0.750)
Re (0.750, 0.250, 0.750)
Re (0.750, 0.750, 0.250)

***

Entry 2:
Material: NdAl2PdPt
Method: DFT, PBE
State: relaxed

Calculated values
Volume ... 193.1 Å³/cell
Symmetry ... No. 129
Total energy ... -28.58 eV per formula unit

a = 4.352 Å, b = 4.352 Å, c = 10.193 Å
α = 90.00°, β = 90.00°, γ = 90.00°
Element x y z (fractional)
Nd (0.250, 0.250, 0.250)
Nd (0.750, 0.750, 0.750)
Al (0.250, 0.250, 0.625)
Al (0.250, 0.750, 0.000)
Al (0.750, 0.250, 0.000)
Al (0.750, 0.750, 0.375)
Pd (0.250, 0.750, 0.500)
Pd (0.750, 0.250, 0.500)
Pt (0.250, 0.250, 0.868)
Pt (0.750, 0.750, 0.132)

***

Entry 3:
Material: HoTlInS3
Method: DFT, PBE
State: relaxed

Calculated values
Volume ... 322.4 Å³/cell
Symmetry ... No. 63
Total energy ... -28.22 eV per formula unit

a = 7.647 Å, b = 7.647 Å, c = 10.908 Å
α = 90.00°, β = 90.00°, γ = 149.64°
Element x y z (fractional)
Ho (0.000, 0.000, 0.000)
Ho (0.000, 0.000, 0.500)
Tl (0.300, 0.700, 0.750)
Tl (0.700, 0.300, 0.250)
In (0.379, 0.621, 0.250)
In (0.621, 0.379, 0.750)
S (0.000, 0.000, 0.250)
S (0.000, 0.000, 0.750)
S (0.374, 0.626, 0.006)
S (0.374, 0.626, 0.494)
S (0.626, 0.374, 0.506)
S (0.626, 0.374, 0.994)

***

Entry 4:
Material: CsIrAuSe3
Method: DFT, PBE
State: relaxed

Calculated values
Volume ... 333.6 Å³/cell
Symmetry ... No. 63
Total energy ... -25.25 eV per formula unit

a = 8.789 Å, b = 8.789 Å, c = 10.058 Å
α = 90.00°, β = 90.00°, γ = 154.57°
Element x y z (fractional)
Cs (0.232, 0.768, 0.750)
Cs (0.768, 0.232, 0.250)
Ir (0.500, 0.500, 0.000)
Ir (0.500, 0.500, 0.500)
Au (0.103, 0.897, 0.250)
Au (0.897, 0.103, 0.750)
Se (0.096, 0.904, 0.009)
Se (0.096, 0.904, 0.491)
Se (0.459, 0.541, 0.250)
Se (0.541, 0.459, 0.750)
Se (0.904, 0.096, 0.509)
Se (0.904, 0.096, 0.991)

***

Entry 5:
Material: Zr4FeCoAs2
Method: DFT, PBE
State: relaxed

Calculated values
Volume ... 142.3 Å³/cell
Symmetry ... No. 6
Total energy ... -64.77 eV per formula unit

a = 5.382 Å, b = 3.724 Å, c = 7.561 Å
α = 90.00°, β = 110.15°, γ = 90.00°
Element x y z (fractional)
Zr (0.000, 0.000, 0.000)
Zr (0.067, 0.500, 0.644)
Zr (0.542, 0.000, 0.529)
Zr (0.615, 0.500, 0.180)
Fe (0.932, 0.000, 0.379)
Co (0.675, 0.500, 0.801)
As (0.174, 0.500, 0.298)
As (0.439, 0.000, 0.878)

***

Entry 6:
Material: ScCuS2
Method: DFT, PBE
State: relaxed

Calculated values
Volume ... 84.0 Å³/cell
Symmetry ... No. 115
Total energy ... -22.93 eV per formula unit

a = 3.962 Å, b = 3.962 Å, c = 5.351 Å
α = 90.00°, β = 90.00°, γ = 90.00°
Element x y z (fractional)
Sc (0.000, 0.000, 0.000)
Cu (0.500, 0.500, 0.500)
S (0.000, 0.500, 0.269)
S (0.500, 0.000, 0.731)

***

Entry 7:
Material: NaHfAgSe3
Method: DFT, PBE
State: relaxed

Calculated values
Volume ... 558.9 Å³/cell
Symmetry ... No. 62
Polymorph energy (0 for the lowest one) ... 0.0 meV/atom
Total energy ... -30.54 eV per formula unit

a = 13.432 Å, b = 3.902 Å, c = 10.664 Å
α = 90.00°, β = 90.00°, γ = 90.00°
Element x y z (fractional)
Na (0.226, 0.250, 0.047)
Na (0.274, 0.750, 0.547)
Na (0.726, 0.250, 0.453)
Na (0.774, 0.750, 0.953)
Hf (0.012, 0.250, 0.327)
Hf (0.488, 0.750, 0.827)
Hf (0.512, 0.250, 0.173)
Hf (0.988, 0.750, 0.673)
Ag (0.017, 0.750, 0.093)
Ag (0.483, 0.250, 0.593)
Ag (0.517, 0.750, 0.407)
Ag (0.983, 0.250, 0.907)
Se (0.101, 0.250, 0.563)
Se (0.116, 0.750, 0.860)
Se (0.146, 0.750, 0.274)
Se (0.354, 0.250, 0.774)
Se (0.384, 0.250, 0.360)
Se (0.399, 0.750, 0.063)
Se (0.601, 0.250, 0.937)
Se (0.616, 0.750, 0.640)
Se (0.646, 0.750, 0.226)
Se (0.854, 0.250, 0.726)
Se (0.884, 0.250, 0.140)
Se (0.899, 0.750, 0.437)

***

Entry 8:
Material: CuSiNiAu
Method: DFT, PBE
State: relaxed

Calculated values
Volume ... 214.5 Å³/cell
Symmetry ... No. 216
Polymorph energy (0 for the lowest one) ... 0.0 meV/atom
Total energy ... -17.99 eV per formula unit

a = 5.986 Å, b = 5.986 Å, c = 5.986 Å
α = 90.00°, β = 90.00°, γ = 90.00°
Element x y z (fractional)
Cu (0.000, 0.000, 0.000)
Cu (0.000, 0.500, 0.500)
Cu (0.500, 0.000, 0.500)
Cu (0.500, 0.500, 0.000)
Si (0.250, 0.250, 0.750)
Si (0.250, 0.750, 0.250)
Si (0.750, 0.250, 0.250)
Si (0.750, 0.750, 0.750)
Ni (0.000, 0.000, 0.500)
Ni (0.000, 0.500, 0.000)
Ni (0.500, 0.000, 0.000)
Ni (0.500, 0.500, 0.500)
Au (0.250, 0.250, 0.250)
Au (0.250, 0.750, 0.750)
Au (0.750, 0.250, 0.750)
Au (0.750, 0.750, 0.250)